The following is a DFT calculation (PBE) of an optimized crystal structure of PuCd5Pd6.

Summary:
- magnetization (μB per formula unit) = 5.156
- VASP energy (eV per atom) = -4.563
- energy of formation (kJ per mole of atoms) = -37.7

Unit cell a=4.4179 b=7.4342 c=7.0300 alpha=90.00 beta=108.17 gamma=90.00
With the nearest neighbours (Å) after each atom.
Positions (direct):
Pu  0.0000  0.0000  0.0000  8 Pd 2.88-2.95, 4 Cd 3.20-3.21
Cd  0.0000  0.5000  0.0000  8 Pd 2.88-2.89, 4 Cd 3.11-3.12
Cd  0.3262  0.0000  0.6520  8 Pd 2.84-2.97, 2 Cd 3.00-3.01
Cd  0.3357  0.5000  0.6714  8 Pd 2.86-2.88, 4 Cd 3.11-3.19
Cd  0.6643  0.5000  0.3286  8 Pd 2.86-2.88, 4 Cd 3.11-3.19
Cd  0.6738  0.0000  0.3480  8 Pd 2.84-2.97, 2 Cd 3.00-3.01
Pd  0.1680  0.2566  0.3364  7 Cd 2.84-2.92, 1 Pu 2.95, 4 Pd 3.10-3.15
Pd  0.1680  0.7434  0.3364  7 Cd 2.84-2.92, 1 Pu 2.95, 4 Pd 3.10-3.15
Pd  0.5000  0.2493  0.0000  6 Cd 2.88-2.97, 2 Pu 2.88, 4 Pd 3.15
Pd  0.5000  0.7507  0.0000  6 Cd 2.88-2.97, 2 Pu 2.88, 4 Pd 3.15
Pd  0.8320  0.2566  0.6636  7 Cd 2.84-2.92, 1 Pu 2.95, 4 Pd 3.10-3.15
Pd  0.8320  0.7434  0.6636  7 Cd 2.84-2.92, 1 Pu 2.95, 4 Pd 3.10-3.15